A geometry-optimized La2YCd structure, computed with PBEsol.

Fermi-level density of states: 1.04 states/eV per atom
Space group: No. 139
Spin magnetization: 0.00 Bohr magnetons per cell
Formation energy: -13 kJ/mol of atoms
VASP energy: -4.81 eV per atom

a b c (Å): 6.082 6.082 6.082
angles (deg): 133.62 133.62 67.68
Positions (direct):
La 0.250 0.750 0.500
La 0.750 0.250 0.500
Y 0.000 0.000 0.000
Cd 0.500 0.500 0.000